1.
# RbTaPO6

A relaxed structure of RbTaPO6 (PBE-GGA, Alexandria).

Structure (POSCAR):
```
RbTaPO6
1.0
5.0663 0.0000 0.0000
-2.5331 4.3875 0.0000
0.0000 0.0000 6.2874
Rb Ta P O
1 1 1 6
direct
0.0000 0.0000 0.0000 Rb
0.6667 0.3333 0.5000 Ta
0.3333 0.6667 0.5000 P
0.0403 0.4097 0.6590 O
0.0403 0.6306 0.3410 O
0.3694 0.4097 0.3410 O
0.3694 0.9597 0.6590 O
0.5903 0.6306 0.6590 O
0.5903 0.9597 0.3410 O
```

Values from the calculation:
Density of states at the Fermi level ... 3.08 states/eV/cell
Energy relative to the elements, uncorrected ... -1779.8 kJ/mol of formula units

2.
# Rb3TbP2O8

A relaxed structure of Rb3TbP2O8 (PBE-GGA, Alexandria).

Structure (POSCAR):
```
Rb3TbP2O8
1.0
5.7620 0.0000 0.0000
-2.8810 4.9900 0.0000
0.0000 0.0000 8.2599
Rb Tb P O
3 1 2 8
direct
0.0000 0.0000 0.0000 Rb
0.3333 0.6667 0.7563 Rb
0.6667 0.3333 0.2437 Rb
0.0000 0.0000 0.5000 Tb
0.3333 0.6667 0.2750 P
0.6667 0.3333 0.7250 P
0.1859 0.3717 0.3404 O
0.1859 0.8141 0.3404 O
0.3333 0.6667 0.0898 O
0.3717 0.1859 0.6596 O
0.6283 0.8141 0.3404 O
0.6667 0.3333 0.9102 O
0.8141 0.1859 0.6596 O
0.8141 0.6283 0.6596 O
```

Values from the calculation:
Density of states at the Fermi level ... 0.00 states/eV/cell
Energy relative to the elements, uncorrected ... -3464.9 kJ/mol of formula units

3.
# RbTbP4O12

A relaxed structure of RbTbP4O12 (PBE-GGA, Alexandria).

Structure (POSCAR):
```
RbTbP4O12
1.0
10.4791 0.0000 0.0000
0.0000 9.0016 0.0000
-7.2870 0.0000 10.6449
Rb Tb P O
4 4 16 48
direct
0.2363 0.0649 0.0400 Rb
0.2363 0.4351 0.5400 Rb
0.7637 0.5649 0.4600 Rb
0.7637 0.9351 0.9600 Rb
0.3144 0.7260 0.8158 Tb
0.3144 0.7740 0.3158 Tb
0.6856 0.2260 0.6842 Tb
0.6856 0.2740 0.1842 Tb
0.0276 0.0279 0.2790 P
0.0276 0.4721 0.7790 P
0.2001 0.6088 0.0232 P
0.2001 0.8912 0.5232 P
0.3255 0.1722 0.3648 P
0.3255 0.3278 0.8648 P
0.3899 0.0909 0.7424 P
0.3899 0.4091 0.2424 P
0.6101 0.5909 0.7576 P
0.6101 0.9091 0.2576 P
0.6745 0.6722 0.1352 P
0.6745 0.8278 0.6352 P
0.7999 0.1088 0.4768 P
0.7999 0.3912 0.9768 P
0.9724 0.5279 0.2210 P
0.9724 0.9721 0.7210 P
0.0415 0.5448 0.9006 O
0.0415 0.9552 0.4006 O
0.0719 0.5826 0.7168 O
0.0719 0.9174 0.2168 O
0.1297 0.5966 0.3003 O
0.1297 0.9034 0.8003 O
0.1564 0.1597 0.3417 O
0.1564 0.3403 0.8417 O
0.1645 0.7113 0.0955 O
0.1645 0.7887 0.5955 O
0.2694 0.0475 0.5972 O
0.2694 0.4525 0.0972 O
0.2812 0.2082 0.7547 O
0.2812 0.2918 0.2547 O
0.2984 0.6659 0.9815 O
0.2984 0.8341 0.4815 O
0.3671 0.0297 0.3306 O
0.3671 0.4703 0.8306 O
0.4233 0.5416 0.3248 O
0.4233 0.9584 0.8248 O
0.4301 0.2414 0.4916 O
0.4301 0.2586 0.9916 O
0.4768 0.6739 0.7426 O
0.4768 0.8261 0.2426 O
0.5232 0.1739 0.7574 O
0.5232 0.3261 0.2574 O
0.5699 0.7414 0.0084 O
0.5699 0.7586 0.5084 O
0.5767 0.0416 0.1752 O
0.5767 0.4584 0.6752 O
0.6329 0.5297 0.1694 O
0.6329 0.9703 0.6694 O
0.7016 0.1659 0.5185 O
0.7016 0.3341 0.0185 O
0.7188 0.7082 0.7453 O
0.7188 0.7918 0.2453 O
0.7306 0.5475 0.9028 O
0.7306 0.9525 0.4028 O
0.8355 0.2113 0.4045 O
0.8355 0.2887 0.9045 O
0.8436 0.6597 0.1583 O
0.8436 0.8403 0.6583 O
0.8703 0.0966 0.1997 O
0.8703 0.4034 0.6997 O
0.9281 0.0826 0.7832 O
0.9281 0.4174 0.2832 O
0.9585 0.0448 0.5994 O
0.9585 0.4552 0.0994 O
```

Values from the calculation:
Density of states at the Fermi level ... 0.00 states/eV/cell
Energy relative to the elements, uncorrected ... -4268.2 kJ/mol of formula units

4.
# RbTcPO2

A relaxed structure of RbTcPO2 (PBE-GGA, Alexandria).

Structure (POSCAR):
```
RbTcPO2
1.0
4.0976 0.0000 0.0000
0.0000 4.0976 0.0000
0.0000 0.0000 6.3963
Rb Tc P O
1 1 1 2
direct
0.0000 0.0000 0.0000 Rb
0.5000 0.5000 0.5000 Tc
0.0000 0.0000 0.5000 P
0.0000 0.5000 0.0000 O
0.5000 0.0000 0.0000 O
```

Values from the calculation:
Density of states at the Fermi level ... 1.97 states/eV/cell
Relative energy among the computed polymorphs ... 2167 meV per atom
Energy relative to the elements, uncorrected ... 773.8 kJ/mol of formula units

5.
# RbTcPO2

A relaxed structure of RbTcPO2 (PBE-GGA, Alexandria).

Structure (POSCAR):
```
RbTcPO2
1.0
4.0918 0.0000 0.0000
0.0000 4.0918 0.0000
0.0000 0.0000 4.7001
Rb Tc P O
1 1 1 2
direct
0.0000 0.0000 0.0000 Rb
0.5000 0.5000 0.5000 Tc
0.5000 0.5000 0.0000 P
0.0000 0.5000 0.5000 O
0.5000 0.0000 0.5000 O
```

Values from the calculation:
Density of states at the Fermi level ... 2.82 states/eV/cell
Relative energy among the computed polymorphs ... 0 meV per atom
Energy relative to the elements, uncorrected ... -271.6 kJ/mol of formula units

6.
# Rb2TePO6

A relaxed structure of Rb2TePO6 (PBE-GGA, Alexandria).

Structure (POSCAR):
```
Rb2TePO6
1.0
-2.6968 2.6968 5.4651
2.6968 -2.6968 5.4651
2.6968 2.6968 -5.4651
Rb Te P O
2 1 1 6
direct
0.2500 0.7500 0.5000 Rb
0.7500 0.2500 0.5000 Rb
0.0000 0.0000 0.0000 Te
0.5000 0.5000 0.0000 P
0.1738 0.1738 0.0000 O
0.2835 0.2835 0.5670 O
0.2835 0.7165 0.0000 O
0.7165 0.2835 0.0000 O
0.7165 0.7165 0.4330 O
0.8262 0.8262 0.0000 O
```

Values from the calculation:
Density of states at the Fermi level ... 1.52 states/eV/cell
Energy relative to the elements, uncorrected ... -1187.5 kJ/mol of formula units

7.
# RbTeP2O

A relaxed structure of RbTeP2O (PBE-GGA, Alexandria).

Structure (POSCAR):
```
RbTeP2O
1.0
5.4479 0.0000 0.0000
0.0000 5.4479 0.0000
0.0000 0.0000 4.2336
Rb Te P O
1 1 2 1
direct
0.0000 0.0000 0.0000 Rb
0.5000 0.5000 0.5000 Te
0.0000 0.5000 0.5000 P
0.5000 0.0000 0.5000 P
0.5000 0.5000 0.0000 O
```

Values from the calculation:
Density of states at the Fermi level ... 3.31 states/eV/cell
Relative energy among the computed polymorphs ... 0 meV per atom
Energy relative to the elements, uncorrected ... 128.5 kJ/mol of formula units

8.
# RbTePO2

A relaxed structure of RbTePO2 (PBE-GGA, Alexandria).

Structure (POSCAR):
```
RbTePO2
1.0
4.3177 0.0000 0.0000
0.0000 4.3177 0.0000
0.0000 0.0000 5.2361
Rb Te P O
1 1 1 2
direct
0.0000 0.0000 0.0000 Rb
0.5000 0.5000 0.5000 Te
0.5000 0.5000 0.0000 P
0.0000 0.5000 0.5000 O
0.5000 0.0000 0.5000 O
```

Values from the calculation:
Density of states at the Fermi level ... 2.73 states/eV/cell
Relative energy among the computed polymorphs ... 0 meV per atom
Energy relative to the elements, uncorrected ... -121.2 kJ/mol of formula units

9.
# RbTeP2O

A relaxed structure of RbTeP2O (PBE-GGA, Alexandria).

Structure (POSCAR):
```
RbTeP2O
1.0
5.4941 0.0000 0.0000
0.0000 5.4941 0.0000
0.0000 0.0000 4.2555
Rb Te P O
1 1 2 1
direct
0.0000 0.0000 0.0000 Rb
0.5000 0.5000 0.5000 Te
0.0000 0.5000 0.0000 P
0.5000 0.0000 0.0000 P
0.0000 0.0000 0.5000 O
```

Values from the calculation:
Density of states at the Fermi level ... 4.25 states/eV/cell
Relative energy among the computed polymorphs ... 1276 meV per atom
Energy relative to the elements, uncorrected ... 744.1 kJ/mol of formula units

10.
# RbTePO2

A relaxed structure of RbTePO2 (PBE-GGA, Alexandria).

Structure (POSCAR):
```
RbTePO2
1.0
4.2440 0.0000 0.0000
0.0000 4.2440 0.0000
0.0000 0.0000 7.6216
Rb Te P O
1 1 1 2
direct
0.0000 0.0000 0.0000 Rb
0.5000 0.5000 0.5000 Te
0.0000 0.0000 0.5000 P
0.0000 0.5000 0.0000 O
0.5000 0.0000 0.0000 O
```

Values from the calculation:
Density of states at the Fermi level ... 3.78 states/eV/cell
Relative energy among the computed polymorphs ... 1334 meV per atom
Energy relative to the elements, uncorrected ... 522.3 kJ/mol of formula units

11.
# RbThPO5

A relaxed structure of RbThPO5 (PBE-GGA, Alexandria).

Structure (POSCAR):
```
RbThPO5
1.0
3.7648 -4.9768 0.0000
3.7648 4.9768 0.0000
-3.5182 0.0000 7.4575
Rb Th P O
2 2 2 10
direct
0.1622 0.8378 0.7500 Rb
0.8378 0.1622 0.2500 Rb
0.5000 0.5000 0.0000 Th
0.5000 0.5000 0.5000 Th
0.1867 0.8133 0.2500 P
0.8133 0.1867 0.7500 P
0.0766 0.2652 0.8757 O
0.2055 0.6490 0.3643 O
0.2652 0.0766 0.3757 O
0.3510 0.7945 0.1357 O
0.4316 0.5684 0.7500 O
0.5684 0.4316 0.2500 O
0.6490 0.2055 0.8643 O
0.7348 0.9234 0.6243 O
0.7945 0.3510 0.6357 O
0.9234 0.7348 0.1243 O
```

Values from the calculation:
Density of states at the Fermi level ... 0.00 states/eV/cell
Energy relative to the elements, uncorrected ... -2180.7 kJ/mol of formula units

12.
# RbThPO6

A relaxed structure of RbThPO6 (PBE-GGA, Alexandria).

Structure (POSCAR):
```
RbThPO6
1.0
5.5222 0.0000 0.0000
-2.7611 4.7823 0.0000
0.0000 0.0000 6.1396
Rb Th P O
1 1 1 6
direct
0.0000 0.0000 0.0000 Rb
0.3333 0.6667 0.5000 Th
0.6667 0.3333 0.5000 P
0.4168 0.0788 0.6620 O
0.4168 0.3379 0.3380 O
0.6621 0.0788 0.3380 O
0.6621 0.5832 0.6620 O
0.9212 0.3379 0.6620 O
0.9212 0.5832 0.3380 O
```

Values from the calculation:
Density of states at the Fermi level ... 3.57 states/eV/cell
Energy relative to the elements, uncorrected ... -1766.7 kJ/mol of formula units

13.
# RbTh2P3O12

A relaxed structure of RbTh2P3O12 (PBE-GGA, Alexandria).

Structure (POSCAR):
```
RbTh2P3O12
1.0
8.9912 -3.4784 0.0000
8.9912 3.4784 0.0000
-1.8017 0.0000 8.0498
Rb Th P O
2 4 6 24
direct
0.0941 0.9059 0.7500 Rb
0.9059 0.0941 0.2500 Rb
0.2509 0.4403 0.9671 Th
0.4403 0.2509 0.4671 Th
0.5597 0.7491 0.5329 Th
0.7491 0.5597 0.0329 Th
0.1004 0.2841 0.6820 P
0.2841 0.1004 0.1820 P
0.4054 0.5946 0.2500 P
0.5946 0.4054 0.7500 P
0.7160 0.8996 0.8180 P
0.8996 0.7160 0.3180 P
0.0516 0.2381 0.1497 O
0.0517 0.3573 0.8699 O
0.1023 0.5867 0.4295 O
0.2245 0.3290 0.6702 O
0.2381 0.0516 0.6497 O
0.2565 0.6881 0.0909 O
0.3119 0.7435 0.4091 O
0.3290 0.2245 0.1702 O
0.3573 0.0517 0.3699 O
0.3977 0.4595 0.7575 O
0.4133 0.8977 0.0705 O
0.4595 0.3977 0.2575 O
0.5405 0.6023 0.7425 O
0.5867 0.1023 0.9295 O
0.6023 0.5405 0.2425 O
0.6427 0.9483 0.6301 O
0.6710 0.7755 0.8298 O
0.6881 0.2565 0.5909 O
0.7435 0.3119 0.9091 O
0.7619 0.9484 0.3503 O
0.7755 0.6710 0.3298 O
0.8977 0.4133 0.5705 O
0.9483 0.6427 0.1301 O
0.9484 0.7619 0.8503 O
```

Values from the calculation:
Density of states at the Fermi level ... 0.00 states/eV/cell
Energy relative to the elements, uncorrected ... -5024.1 kJ/mol of formula units

14.
# RbTiP2O7

A relaxed structure of RbTiP2O7 (PBE-GGA, Alexandria).

Structure (POSCAR):
```
RbTiP2O7
1.0
7.6685 0.0000 0.0000
0.0000 10.4233 0.0000
-2.2785 0.0000 8.0483
Rb Ti P O
4 4 8 28
direct
0.1893 0.1828 0.0554 Rb
0.1893 0.3172 0.5554 Rb
0.8107 0.6828 0.4446 Rb
0.8107 0.8172 0.9446 Rb
0.2377 0.6015 0.2587 Ti
0.2377 0.8985 0.7587 Ti
0.7623 0.1015 0.2413 Ti
0.7623 0.3985 0.7413 Ti
0.1317 0.5975 0.8284 P
0.1317 0.9025 0.3284 P
0.4356 0.6343 0.6862 P
0.4356 0.8657 0.1862 P
0.5644 0.1343 0.8138 P
0.5644 0.3657 0.3138 P
0.8683 0.0975 0.6716 P
0.8683 0.4025 0.1716 P
0.0026 0.9995 0.7710 O
0.0026 0.5005 0.2710 O
0.0838 0.7338 0.7610 O
0.0838 0.7662 0.2610 O
0.1541 0.5893 0.0147 O
0.1541 0.9107 0.5147 O
0.3242 0.6076 0.5068 O
0.3242 0.8924 0.0068 O
0.3279 0.5590 0.8023 O
0.3279 0.9410 0.3023 O
0.3754 0.0757 0.7713 O
0.3754 0.4243 0.2713 O
0.4453 0.7232 0.2334 O
0.4453 0.7768 0.7334 O
0.5547 0.2232 0.2666 O
0.5547 0.2768 0.7666 O
0.6246 0.5757 0.7287 O
0.6246 0.9243 0.2287 O
0.6721 0.0590 0.6977 O
0.6721 0.4410 0.1977 O
0.6758 0.1076 0.9932 O
0.6758 0.3924 0.4932 O
0.8459 0.0893 0.4853 O
0.8459 0.4107 0.9853 O
0.9162 0.2338 0.7390 O
0.9162 0.2662 0.2390 O
0.9974 0.0005 0.2290 O
0.9974 0.4995 0.7290 O
```

Values from the calculation:
Density of states at the Fermi level ... 13.13 states/eV/cell
Energy relative to the elements, uncorrected ... -2581.3 kJ/mol of formula units

15.
# RbTiPO2

A relaxed structure of RbTiPO2 (PBE-GGA, Alexandria).

Structure (POSCAR):
```
RbTiPO2
1.0
4.0341 0.0000 0.0000
0.0000 4.0341 0.0000
0.0000 0.0000 5.0284
Rb Ti P O
1 1 1 2
direct
0.0000 0.0000 0.0000 Rb
0.5000 0.5000 0.5000 Ti
0.5000 0.5000 0.0000 P
0.0000 0.5000 0.5000 O
0.5000 0.0000 0.5000 O
```

Values from the calculation:
Density of states at the Fermi level ... 3.92 states/eV/cell
Relative energy among the computed polymorphs ... 0 meV per atom
Energy relative to the elements, uncorrected ... -558.3 kJ/mol of formula units

16.
# RbTiPO2

A relaxed structure of RbTiPO2 (PBE-GGA, Alexandria).

Structure (POSCAR):
```
RbTiPO2
1.0
4.0725 0.0000 0.0000
0.0000 4.0725 0.0000
0.0000 0.0000 6.3470
Rb Ti P O
1 1 1 2
direct
0.0000 0.0000 0.0000 Rb
0.5000 0.5000 0.5000 Ti
0.0000 0.0000 0.5000 P
0.0000 0.5000 0.0000 O
0.5000 0.0000 0.0000 O
```

Values from the calculation:
Density of states at the Fermi level ... 4.70 states/eV/cell
Relative energy among the computed polymorphs ... 2199 meV per atom
Energy relative to the elements, uncorrected ... 502.5 kJ/mol of formula units

17.
# RbTiP2O

A relaxed structure of RbTiP2O (PBE-GGA, Alexandria).

Structure (POSCAR):
```
RbTiP2O
1.0
5.2967 0.0000 0.0000
0.0000 5.2967 0.0000
0.0000 0.0000 3.7252
Rb Ti P O
1 1 2 1
direct
0.0000 0.0000 0.0000 Rb
0.5000 0.5000 0.5000 Ti
0.0000 0.5000 0.5000 P
0.5000 0.0000 0.5000 P
0.5000 0.5000 0.0000 O
```

Values from the calculation:
Density of states at the Fermi level ... 4.46 states/eV/cell
Relative energy among the computed polymorphs ... 0 meV per atom
Energy relative to the elements, uncorrected ... -265.5 kJ/mol of formula units